First-principles (GGA-PBE) data for an optimized crystal structure of Tl12Hg6As, as listed in Alexandria.

Summary:
- symmetry = No. 148

Geometry as CIF:
```
data_Tl12Hg6As
_chemical_formula_sum 'Tl12 Hg6 As1'
_cell_length_a 9.328
_cell_length_b 9.328
_cell_length_c 9.328
_cell_angle_alpha 111.76
_cell_angle_beta 111.76
_cell_angle_gamma 111.76
_symmetry_space_group_name_H-M 'P 1'
_symmetry_Int_Tables_number 1
loop_
_symmetry_equiv_pos_as_xyz
'x,y,z'
loop_
_atom_site_label
_atom_site_type_symbol
_atom_site_fract_x
_atom_site_fract_y
_atom_site_fract_z
Hg1 Hg 0.372 0.914 0.610
Hg2 Hg 0.390 0.628 0.086
Hg3 Hg 0.628 0.086 0.390
Hg4 Hg 0.086 0.390 0.628
Hg5 Hg 0.914 0.610 0.372
Hg6 Hg 0.610 0.372 0.914
Tl1 Tl 0.129 0.063 0.719
Tl2 Tl 0.556 0.650 0.815
Tl3 Tl 0.281 0.871 0.937
Tl4 Tl 0.719 0.129 0.063
Tl5 Tl 0.871 0.937 0.281
Tl6 Tl 0.185 0.444 0.350
Tl7 Tl 0.350 0.185 0.444
Tl8 Tl 0.650 0.815 0.556
Tl9 Tl 0.937 0.281 0.871
Tl10 Tl 0.444 0.350 0.185
Tl11 Tl 0.815 0.556 0.650
Tl12 Tl 0.063 0.719 0.129
As1 As 0.000 0.000 0.000
```

=====

First-principles (GGA-PBE) data for an optimized crystal structure of TlHgAs, as listed in Alexandria.

Summary:
- symmetry = No. 42

Geometry as CIF:
```
data_TlHgAs
_chemical_formula_sum 'Tl1 Hg1 As1'
_cell_length_a 8.804
_cell_length_b 8.818
_cell_length_c 3.084
_cell_angle_alpha 79.65
_cell_angle_beta 80.19
_cell_angle_gamma 20.16
_symmetry_space_group_name_H-M 'P 1'
_symmetry_Int_Tables_number 1
loop_
_symmetry_equiv_pos_as_xyz
'x,y,z'
loop_
_atom_site_label
_atom_site_type_symbol
_atom_site_fract_x
_atom_site_fract_y
_atom_site_fract_z
Tl1 Tl 0.650 0.650 0.350
Hg1 Hg 0.343 0.343 0.657
As1 As 0.007 0.007 0.993
```

=====

First-principles (GGA-PBE) data for an optimized crystal structure of TlHg2As, as listed in Alexandria.

Summary:
- symmetry = No. 65

Geometry as CIF:
```
data_TlHg2As
_chemical_formula_sum 'Tl1 Hg2 As1'
_cell_length_a 5.558
_cell_length_b 5.558
_cell_length_c 3.336
_cell_angle_alpha 90.00
_cell_angle_beta 90.00
_cell_angle_gamma 101.27
_symmetry_space_group_name_H-M 'P 1'
_symmetry_Int_Tables_number 1
loop_
_symmetry_equiv_pos_as_xyz
'x,y,z'
loop_
_atom_site_label
_atom_site_type_symbol
_atom_site_fract_x
_atom_site_fract_y
_atom_site_fract_z
As1 As 0.000 0.500 0.500
Hg1 Hg 0.000 0.000 0.000
Hg2 Hg 0.500 0.500 0.000
Tl1 Tl 0.500 0.000 0.500
```

=====

First-principles (GGA-PBE) data for an optimized crystal structure of TlHgAs2, as listed in Alexandria.

Summary:
- symmetry = No. 6

Geometry as CIF:
```
data_TlHgAs2
_chemical_formula_sum 'Tl1 Hg1 As2'
_cell_length_a 3.620
_cell_length_b 3.067
_cell_length_c 9.373
_cell_angle_alpha 81.43
_cell_angle_beta 90.00
_cell_angle_gamma 90.00
_symmetry_space_group_name_H-M 'P 1'
_symmetry_Int_Tables_number 1
loop_
_symmetry_equiv_pos_as_xyz
'x,y,z'
loop_
_atom_site_label
_atom_site_type_symbol
_atom_site_fract_x
_atom_site_fract_y
_atom_site_fract_z
As1 As 0.000 0.169 0.033
As2 As 0.500 0.088 0.221
Hg1 Hg 0.000 0.449 0.481
Tl1 Tl 0.500 0.794 0.765
```

=====

Formation energy from the elements values, unit eV per atom, following the record order: 0.025 0.192 0.240 0.083.